Crystalline RbAgF3 at its relaxed geometry, computed with PBE-GGA.

Summary:
* D(E_F): 0.3737 states/eV/atom
* raw formation energy: -1.013 eV per atom
* crystal system: cubic
* space group: Pm-3m (221)
* energy: -2.90 eV/atom

a b c (Å): 4.9523 4.9523 4.9523
angles (deg): 90.00 90.00 90.00
Last column: nearest neighbours and their distance in Å.
Positions (direct):
1 Rb 0.0000 0.0000 0.0000  6 F 2.48
2 Ag 0.5000 0.5000 0.5000  12 F 3.50
3 F 0.0000 0.5000 0.0000  2 Rb 2.48
4 F 0.0000 0.0000 0.5000  2 Rb 2.48
5 F 0.5000 0.0000 0.0000  2 Rb 2.48